[1]
Material: Zn2RePdC
Method: DFT, PBE
State: relaxed

Values from the calculation:
ΔH_f (0 K), kcal/mol of atoms: 37.34
Space group: No. 123
Spin magnetization, μB/cell: 2.65

abc: 4.8091 4.8091 3.7232
angles: 90.00 90.00 90.00
Fractional positions:
1 Zn 0.0000 0.5000 0.0000
2 Zn 0.5000 0.0000 0.0000
3 Re 0.0000 0.0000 0.5000
4 Pd 0.5000 0.5000 0.0000
5 C 0.5000 0.5000 0.5000

[2]
Material: PdRh2C
Method: DFT, PBE
State: relaxed

Values from the calculation:
ΔH_f (0 K), kcal/mol of atoms: 6.97
Space group: No. 122
Spin magnetization, μB/cell: 0.00

abc: 5.2251 5.2251 5.2251
angles: 104.62 104.62 119.69
Fractional positions:
1 Pd 0.0000 0.0000 0.0000
2 Pd 0.7500 0.2500 0.5000
3 Rh 0.2257 0.6250 0.1007
4 Rh 0.3750 0.4757 0.6007
5 Rh 0.5243 0.1250 0.8993
6 Rh 0.8750 0.7743 0.3993
7 C 0.2500 0.7500 0.5000
8 C 0.5000 0.5000 0.0000

[3]
Material: Pd3RhC
Method: DFT, PBE
State: relaxed

Values from the calculation:
ΔH_f (0 K), kcal/mol of atoms: 11.18
Energy above the most stable polymorph in this dataset, meV/atom: 0
Space group: No. 221
Spin magnetization, μB/cell: 0.00

abc: 4.1237 4.1237 4.1237
angles: 90.00 90.00 90.00
Fractional positions:
1 Pd 0.0000 0.0000 0.5000
2 Pd 0.0000 0.5000 0.0000
3 Pd 0.5000 0.0000 0.0000
4 Rh 0.5000 0.5000 0.5000
5 C 0.0000 0.0000 0.0000